{
  "formula": "CaMgBe",
  "functional": "PBE",
  "state": "optimized geometry",
  "lattice_angstrom": [[-3.663, -1.813, 3.397], [1.511, -3.753, -0.374], [10.489, 3.477, 7.479]],
  "species": ["Be", "Be", "Be", "Be", "Ca", "Ca", "Ca", "Ca", "Mg", "Mg", "Mg", "Mg"],
  "fractional_positions": [[0.069, 0.000, 0.767], [0.931, 0.000, 0.233], [0.069, 0.500, 0.267], [0.931, 0.500, 0.733], [0.663, 0.000, 0.868], [0.337, 0.000, 0.132], [0.663, 0.500, 0.368], [0.337, 0.500, 0.632], [0.202, 0.000, 0.416], [0.798, 0.000, 0.584], [0.202, 0.500, 0.916], [0.798, 0.500, 0.084]],
  "polymorph_energy_mev_per_atom": 0,
  "dft_energy_ev_per_atom": -2.330,
  "formation_enthalpy_0k_ev_per_fu": 0.333,
  "spacegroup": "No. 12"
}